Version w
Entry from Alexandria via LeMat-Bulk: crystalline Mg2IrF2 at its relaxed geometry (PBE).

```
data_Mg2IrF2
_chemical_formula_sum 'Mg4 Ir2 F4'
_symmetry_space_group_name_H-M 'P 4/m b m'
_symmetry_Int_Tables_number 127
_symmetry_space_group_name_Hall '-P 4 2ab'
_cell_length_a 7.069
_cell_length_b 7.069
_cell_length_c 2.639
_cell_angle_alpha 90.00
_cell_angle_beta 90.00
_cell_angle_gamma 90.00
loop_
_atom_site_label
_atom_site_fract_x
_atom_site_fract_y
_atom_site_fract_z
Mg1 0.151 0.349 0.000
Ir1 0.000 0.000 0.500
F1 0.110 0.610 0.500
```

=====

Version x
Entry from Alexandria via LeMat-Bulk: crystalline Mg2IrF2 at its relaxed geometry (PBE).

```
data_Mg2IrF2
_chemical_formula_sum 'Mg4 Ir2 F4'
_symmetry_space_group_name_H-M 'I 4/m m m'
_symmetry_Int_Tables_number 139
_symmetry_space_group_name_Hall '-I 4 2'
_cell_length_a 4.121
_cell_length_b 4.121
_cell_length_c 8.705
_cell_angle_alpha 90.00
_cell_angle_beta 90.00
_cell_angle_gamma 90.00
loop_
_atom_site_label
_atom_site_fract_x
_atom_site_fract_y
_atom_site_fract_z
Mg1 0.000 0.500 0.250
Ir1 0.000 0.000 0.000
F1 0.000 0.000 0.320
```

=====

Stability, highest: version w

=====

Version w
Entry from Alexandria via LeMat-Bulk: crystalline MgIrF3 at its relaxed geometry (PBE).

```
data_MgIrF3
_chemical_formula_sum 'Mg1 Ir1 F3'
_symmetry_space_group_name_H-M 'P m -3 m'
_symmetry_Int_Tables_number 221
_symmetry_space_group_name_Hall '-P 4 2 3'
_cell_length_a 4.283
_cell_length_b 4.283
_cell_length_c 4.283
_cell_angle_alpha 90.00
_cell_angle_beta 90.00
_cell_angle_gamma 90.00
loop_
_atom_site_label
_atom_site_fract_x
_atom_site_fract_y
_atom_site_fract_z
Mg1 0.000 0.000 0.000
Ir1 0.500 0.500 0.500
F1 0.000 0.500 0.500
```

=====

Version x
Entry from Alexandria via LeMat-Bulk: crystalline MgIrF3 at its relaxed geometry (PBE).

```
data_MgIrF3
_chemical_formula_sum 'Mg1 Ir1 F3'
_symmetry_space_group_name_H-M 'P m -3 m'
_symmetry_Int_Tables_number 221
_symmetry_space_group_name_Hall '-P 4 2 3'
_cell_length_a 3.991
_cell_length_b 3.991
_cell_length_c 3.991
_cell_angle_alpha 90.00
_cell_angle_beta 90.00
_cell_angle_gamma 90.00
loop_
_atom_site_label
_atom_site_fract_x
_atom_site_fract_y
_atom_site_fract_z
Mg1 0.000 0.000 0.000
Ir1 0.500 0.500 0.500
F1 0.000 0.000 0.500
```

=====

Stability, highest: version x

=====

Version w
Entry from Alexandria via LeMat-Bulk: crystalline MgIrNF2 at its relaxed geometry (PBE).

```
data_MgIrNF2
_chemical_formula_sum 'Mg1 Ir1 N1 F2'
_symmetry_space_group_name_H-M 'P 4/m m m'
_symmetry_Int_Tables_number 123
_symmetry_space_group_name_Hall '-P 4 2'
_cell_length_a 3.508
_cell_length_b 3.508
_cell_length_c 5.362
_cell_angle_alpha 90.00
_cell_angle_beta 90.00
_cell_angle_gamma 90.00
loop_
_atom_site_label
_atom_site_fract_x
_atom_site_fract_y
_atom_site_fract_z
Mg1 0.000 0.000 0.000
Ir1 0.500 0.500 0.500
N1 0.000 0.000 0.500
F1 0.000 0.500 0.000
```

=====

Version x
Entry from Alexandria via LeMat-Bulk: crystalline MgIrNF2 at its relaxed geometry (PBE).

```
data_MgIrNF2
_chemical_formula_sum 'Mg1 Ir1 N1 F2'
_symmetry_space_group_name_H-M 'P 4/m m m'
_symmetry_Int_Tables_number 123
_symmetry_space_group_name_Hall '-P 4 2'
_cell_length_a 4.487
_cell_length_b 4.487
_cell_length_c 3.693
_cell_angle_alpha 90.00
_cell_angle_beta 90.00
_cell_angle_gamma 90.00
loop_
_atom_site_label
_atom_site_fract_x
_atom_site_fract_y
_atom_site_fract_z
Mg1 0.000 0.000 0.000
Ir1 0.500 0.500 0.500
N1 0.500 0.500 0.000
F1 0.000 0.500 0.500
```

=====

Stability, highest: version x

=====

Version w
Entry from Alexandria via LeMat-Bulk: crystalline MgIrN2F at its relaxed geometry (PBE).

```
data_MgIrN2F
_chemical_formula_sum 'Mg1 Ir1 N2 F1'
_symmetry_space_group_name_H-M 'P 4/m m m'
_symmetry_Int_Tables_number 123
_symmetry_space_group_name_Hall '-P 4 2'
_cell_length_a 4.049
_cell_length_b 4.049
_cell_length_c 3.493
_cell_angle_alpha 90.00
_cell_angle_beta 90.00
_cell_angle_gamma 90.00
loop_
_atom_site_label
_atom_site_fract_x
_atom_site_fract_y
_atom_site_fract_z
Mg1 0.000 0.000 0.000
Ir1 0.500 0.500 0.500
N1 0.000 0.500 0.000
F1 0.000 0.000 0.500
```

=====

Version x
Entry from Alexandria via LeMat-Bulk: crystalline MgIrN2F at its relaxed geometry (PBE).

```
data_MgIrN2F
_chemical_formula_sum 'Mg1 Ir1 N2 F1'
_symmetry_space_group_name_H-M 'P 4/m m m'
_symmetry_Int_Tables_number 123
_symmetry_space_group_name_Hall '-P 4 2'
_cell_length_a 3.704
_cell_length_b 3.704
_cell_length_c 5.670
_cell_angle_alpha 90.00
_cell_angle_beta 90.00
_cell_angle_gamma 90.00
loop_
_atom_site_label
_atom_site_fract_x
_atom_site_fract_y
_atom_site_fract_z
Mg1 0.000 0.000 0.000
Ir1 0.500 0.500 0.500
N1 0.000 0.500 0.500
F1 0.500 0.500 0.000
```

=====

Stability, highest: version x